An optimized crystal structure of KMg2Cl. Source: Alexandria, functional GGA-PBE.

Output
uncorrected formation energy: -0.40 eV per atom
E above lowest polymorph: 218 meV per atom

Cell lengths 7.2658, 7.2658, 7.2658 Å; angles 99.99, 99.99, 130.77 degrees
Last column: nearest neighbours and their distance in Å.
Sites, in units of the cell vectors:
K: 0.0000 0.0000 0.0000  2 Cl 3.03
K: 0.7500 0.2500 0.5000  2 Cl 3.03
Mg: 0.1779 0.6250 0.0529  2 Cl 3.07, 2 Mg 3.18
Mg: 0.3750 0.4279 0.5529  2 Cl 3.07, 2 Mg 3.18
Mg: 0.5721 0.1250 0.9471  2 Cl 3.07, 2 Mg 3.18
Mg: 0.8750 0.8221 0.4471  2 Cl 3.07, 2 Mg 3.18
Cl: 0.2500 0.7500 0.5000  2 K 3.03, 4 Mg 3.07
Cl: 0.5000 0.5000 0.0000  2 K 3.03, 4 Mg 3.07

***

An optimized crystal structure of Sc2ZnCr. Source: Alexandria, functional GGA-PBE.

Output
E: -5.86 eV/atom

Cell lengths 5.6628, 5.6628, 5.6628 Å; angles 146.18, 131.62, 60.33 degrees
Last column: nearest neighbours and their distance in Å.
Sites, in units of the cell vectors:
Sc: 0.0000 0.0000 0.0000  4 Zn 2.86, 2 Cr 3.03, 2 Sc 3.14
Sc: 0.7167 0.2167 0.5000  4 Cr 2.88, 2 Zn 2.94, 2 Sc 3.14
Zn: 0.4682 0.4682 0.0000  2 Cr 2.62, 4 Sc 2.86
Cr: 0.2603 0.7603 0.5000  2 Zn 2.62, 4 Sc 2.88

***

An optimized crystal structure of TbDyEr4. Source: Alexandria, functional GGA-PBE.

Output
E above lowest polymorph: 0 meV per atom

Cell lengths 8.4648, 8.4648, 6.3817 Å; angles 100.32, 100.32, 118.02 degrees
Last column: nearest neighbours and their distance in Å.
Sites, in units of the cell vectors:
Tb: 0.0863 0.9137 0.7500  10 Er 3.47-3.83
Tb: 0.9137 0.0863 0.2500  10 Er 3.47-3.83
Dy: 0.4994 0.5006 0.7500  2 Dy 3.19, 8 Er 3.31-3.51
Dy: 0.5006 0.4994 0.2500  2 Dy 3.19, 8 Er 3.31-3.51
Er: 0.0746 0.3320 0.8788  4 Er 3.28-3.67, 2 Dy 3.40-3.51, 2 Tb 3.47-3.54
Er: 0.2110 0.6027 0.4642  6 Er 3.28-3.67, 2 Dy 3.31-3.38, 1 Tb 3.60
Er: 0.3320 0.0746 0.3788  4 Er 3.28-3.67, 2 Dy 3.40-3.51, 2 Tb 3.47-3.54
Er: 0.3973 0.7890 0.0358  6 Er 3.28-3.67, 2 Dy 3.31-3.38, 1 Tb 3.60
Er: 0.6027 0.2110 0.9642  6 Er 3.28-3.67, 2 Dy 3.31-3.38, 1 Tb 3.60
Er: 0.6680 0.9254 0.6212  4 Er 3.28-3.67, 2 Dy 3.40-3.51, 2 Tb 3.47-3.54
Er: 0.7890 0.3973 0.5358  6 Er 3.28-3.67, 2 Dy 3.31-3.38, 1 Tb 3.60
Er: 0.9254 0.6680 0.1212  4 Er 3.28-3.67, 2 Dy 3.40-3.51, 2 Tb 3.47-3.54

***

An optimized crystal structure of SmTmPb2. Source: Alexandria, functional GGA-PBE.

Output
E: -4.58 eV/atom

Cell lengths 3.5545, 3.5545, 8.9844 Å; angles 90.00, 90.00, 90.00 degrees
Last column: nearest neighbours and their distance in Å.
Sites, in units of the cell vectors:
Sm: 0.0000 0.0000 0.0000  8 Pb 3.42, 4 Sm 3.55
Tm: 0.0000 0.0000 0.5000  8 Pb 3.32, 4 Tm 3.55
Pb: 0.5000 0.5000 0.2579  4 Tm 3.32, 4 Sm 3.42, 4 Pb 3.55
Pb: 0.5000 0.5000 0.7421  4 Tm 3.32, 4 Sm 3.42, 4 Pb 3.55

***

An optimized crystal structure of KAuBr2. Source: Alexandria, functional GGA-PBE.

Output
uncorrected formation energy: -0.83 eV per atom
E above lowest polymorph: 100 meV per atom

Cell lengths 4.7583, 4.5739, 6.9897 Å; angles 90.00, 106.02, 90.00 degrees
Last column: nearest neighbours and their distance in Å.
Sites, in units of the cell vectors:
K: 0.0000 0.0000 0.0000  6 Br 3.30-3.65
Au: 0.1402 0.5000 0.6184  3 Br 2.59-2.64
Br: 0.4939 0.5000 0.9839  1 Au 2.64
Br: 0.9402 0.0000 0.4682  2 Au 2.59

***

An optimized crystal structure of V2W. Source: Alexandria, functional GGA-PBE.

Output
E: -10.44 eV/atom

Cell lengths 4.9476, 4.9476, 4.9476 Å; angles 60.00, 60.00, 60.00 degrees
Last column: nearest neighbours and their distance in Å.
Sites, in units of the cell vectors:
V: 0.0000 0.0000 0.0000  6 V 2.47
V: 0.0000 0.0000 0.5000  6 V 2.47
V: 0.0000 0.5000 0.0000  6 V 2.47
V: 0.5000 0.0000 0.0000  6 V 2.47
W: 0.3750 0.3750 0.3750  12 V 2.90, 4 W 3.03
W: 0.6250 0.6250 0.6250  12 V 2.90, 4 W 3.03

***

An optimized crystal structure of Sm2DyErTe5. Source: Alexandria, functional GGA-PBE.

Output
uncorrected formation energy: -0.76 eV per atom

Cell lengths 5.5046, 5.5046, 11.5332 Å; angles 90.00, 90.00, 90.00 degrees
Last column: nearest neighbours and their distance in Å.
Sites, in units of the cell vectors:
Sm: 0.0000 0.0000 0.1584  4 Te 3.30, 1 Sm 3.65
Sm: 0.0000 0.0000 0.8416  4 Te 3.30, 1 Sm 3.65
Dy: 0.5000 0.5000 0.5000  2 Te 2.84
Er: 0.5000 0.5000 0.0000  6 Te 2.75-2.93
Te: 0.0000 0.0000 0.5000  4 Dy 3.89, 2 Sm 3.94
Te: 0.0000 0.5000 0.0000  2 Er 2.75
Te: 0.5000 0.0000 0.0000  2 Er 2.75
Te: 0.5000 0.5000 0.2537  1 Dy 2.84, 1 Er 2.93
Te: 0.5000 0.5000 0.7463  1 Dy 2.84, 1 Er 2.93

***

An optimized crystal structure of DyVCo2. Source: Alexandria, functional GGA-PBE.

Output
E above lowest polymorph: 30 meV per atom

Cell lengths 2.9575, 2.9575, 6.8128 Å; angles 90.00, 90.00, 90.00 degrees
Last column: nearest neighbours and their distance in Å.
Sites, in units of the cell vectors:
Dy: 0.0000 0.0000 0.0000  4 Dy 2.96, 8 Co 2.97
V: 0.0000 0.0000 0.5000  8 Co 2.46
Co: 0.5000 0.5000 0.3099  4 V 2.46, 1 Co 2.59
Co: 0.5000 0.5000 0.6901  4 V 2.46, 1 Co 2.59

***

An optimized crystal structure of ReC. Source: Alexandria, functional GGA-PBE.

Output
E above lowest polymorph: 685 meV per atom

Cell lengths 2.9077, 2.9077, 2.8925 Å; angles 90.00, 90.00, 90.00 degrees
Last column: nearest neighbours and their distance in Å.
Sites, in units of the cell vectors:
Re: 0.0000 0.0000 0.0000  4 C 2.06
C: 0.5000 0.5000 0.0000  4 Re 2.06

***

An optimized crystal structure of SmY2SbN4. Source: Alexandria, functional GGA-PBE.

Output
uncorrected formation energy: -1.00 eV per atom

Cell lengths 6.0847, 3.5181, 6.1203 Å; angles 90.00, 109.30, 90.00 degrees
Last column: nearest neighbours and their distance in Å.
Sites, in units of the cell vectors:
Sm: 0.0000 0.0000 0.0000  6 N 2.51
Y: 0.0000 0.5000 0.5000  6 N 2.43
Y: 0.5000 0.0000 0.5000  6 N 2.47
Sb: 0.5000 0.5000 0.0000  6 N 2.55
N: 0.2402 0.0000 0.7354  3 Y 2.43-2.47, 1 Sm 2.51, 2 Sb 2.55
N: 0.2482 0.5000 0.2604  3 Y 2.43-2.47, 2 Sm 2.51, 1 Sb 2.55
N: 0.7518 0.5000 0.7396  3 Y 2.43-2.47, 2 Sm 2.51, 1 Sb 2.55
N: 0.7598 0.0000 0.2646  3 Y 2.43-2.47, 1 Sm 2.51, 2 Sb 2.55

***

An optimized crystal structure of Ce2Te2Se. Source: Alexandria, functional GGA-PBE.

Output
uncorrected formation energy: -1.46 eV per atom

Cell lengths 9.2818, 9.2818, 8.1733 Å; angles 90.00, 90.00, 151.92 degrees
Last column: nearest neighbours and their distance in Å.
Sites, in units of the cell vectors:
Ce: 0.0517 0.9483 0.5000  2 Se 2.95-2.97
Ce: 0.3155 0.6845 0.4418  2 Se 2.85
Ce: 0.6845 0.3155 0.9418  2 Se 2.85
Ce: 0.9483 0.0517 0.0000  2 Se 2.95-2.97
Te: 0.3051 0.6949 0.0383  5 Ce 3.23-3.44
Te: 0.4492 0.5508 0.6987  5 Ce 3.19-3.34
Te: 0.5508 0.4492 0.1987  5 Ce 3.19-3.34
Te: 0.6949 0.3051 0.5383  5 Ce 3.23-3.44
Se: 0.0976 0.9024 0.8460  4 Ce 2.85-2.97
Se: 0.9024 0.0976 0.3460  4 Ce 2.85-2.97

***

An optimized crystal structure of TiSiSN2. Source: Alexandria, functional GGA-PBE.

Output
uncorrected formation energy: 0.39 eV per atom
E above lowest polymorph: 354 meV per atom

Cell lengths 3.8320, 3.8320, 5.1300 Å; angles 90.00, 90.00, 90.00 degrees
Last column: nearest neighbours and their distance in Å.
Sites, in units of the cell vectors:
Ti: 0.0000 0.0000 0.0000  4 N 1.92
Si: 0.5000 0.5000 0.5000  4 S 2.71
S: 0.0000 0.0000 0.5000  2 Ti 2.56, 4 Si 2.71
N: 0.0000 0.5000 0.0000  2 Ti 1.92
N: 0.5000 0.0000 0.0000  2 Ti 1.92

***

An optimized crystal structure of TiMoIr. Source: Alexandria, functional GGA-PBE.

Output
E above lowest polymorph: 119 meV per atom

Cell lengths 6.2758, 6.2758, 6.2758 Å; angles 154.17, 154.17, 36.85 degrees
Last column: nearest neighbours and their distance in Å.
Sites, in units of the cell vectors:
Ti: 0.0000 0.0000 0.0000  4 Ir 2.72, 4 Ti 2.80, 4 Mo 2.96
Mo: 0.3159 0.3159 0.0000  4 Ir 2.75, 4 Mo 2.80, 4 Ti 2.96
Ir: 0.6562 0.6562 0.0000  4 Ti 2.72, 4 Mo 2.75, 4 Ir 2.80

***

An optimized crystal structure of Hf2AlCu6. Source: Alexandria, functional GGA-PBE.

Output
E: -5.51 eV/atom

Cell lengths 5.1660, 5.1660, 5.6692 Å; angles 90.00, 90.00, 120.00 degrees
Last column: nearest neighbours and their distance in Å.
Sites, in units of the cell vectors:
Hf: 0.3333 0.6667 0.3635  9 Cu 2.81-3.01, 3 Al 3.08
Hf: 0.6667 0.3333 0.6365  9 Cu 2.81-3.01, 3 Al 3.08
Al: 0.0000 0.0000 0.5000  6 Cu 2.45
Cu: 0.1753 0.3505 0.8331  6 Cu 2.45-2.72, 1 Al 2.45
Cu: 0.1753 0.8247 0.8331  6 Cu 2.45-2.72, 1 Al 2.45
Cu: 0.3505 0.1753 0.1669  6 Cu 2.45-2.72, 1 Al 2.45
Cu: 0.6495 0.8247 0.8331  6 Cu 2.45-2.72, 1 Al 2.45
Cu: 0.8247 0.1753 0.1669  6 Cu 2.45-2.72, 1 Al 2.45
Cu: 0.8247 0.6495 0.1669  6 Cu 2.45-2.72, 1 Al 2.45